Run P
First-principles (PBE) data for BaZrCu2 after structural relaxation, as listed in Alexandria via LeMat-Bulk.

Lattice parameters (Å, degrees): 3.627 4.217 6.750 90.00 105.12 90.00
Atoms (fractional coordinates):
1 Ba 0.000 0.000 0.000
2 Zr 0.271 0.500 0.555
3 Cu 0.625 0.500 0.256
4 Cu 0.734 0.000 0.482

=====

Run Q
First-principles (PBE) data for BaZrCu2 after structural relaxation, as listed in Alexandria via LeMat-Bulk.

Lattice parameters (Å, degrees): 4.393 4.393 18.817 90.00 90.00 120.00
Atoms (fractional coordinates):
1 Ba 0.000 0.000 0.000
2 Ba 0.333 0.667 0.667
3 Ba 0.667 0.333 0.333
4 Zr 0.000 0.000 0.817
5 Zr 0.333 0.667 0.484
6 Zr 0.667 0.333 0.151
7 Cu 0.000 0.000 0.203
8 Cu 0.000 0.000 0.533
9 Cu 0.333 0.667 0.200
10 Cu 0.333 0.667 0.869
11 Cu 0.667 0.333 0.536
12 Cu 0.667 0.333 0.866

=====

Relative energies, in meV per atom, with the most stable structure set to zero: run P 72; run Q 0.

=====

Run P
First-principles (PBE) data for BaZr3Cu after structural relaxation, as listed in Alexandria via LeMat-Bulk.

Lattice parameters (Å, degrees): 5.144 5.144 5.144 90.00 90.00 90.00
Atoms (fractional coordinates):
1 Ba 0.000 0.000 0.000
2 Zr 0.000 0.500 0.500
3 Zr 0.500 0.000 0.500
4 Zr 0.500 0.500 0.000
5 Cu 0.500 0.500 0.500

=====

Run Q
First-principles (PBE) data for BaZr3Cu after structural relaxation, as listed in Alexandria via LeMat-Bulk.

Lattice parameters (Å, degrees): 5.268 5.268 5.268 90.00 90.00 90.00
Atoms (fractional coordinates):
1 Ba 0.000 0.000 0.000
2 Zr 0.000 0.000 0.500
3 Zr 0.000 0.500 0.000
4 Zr 0.500 0.000 0.000
5 Cu 0.500 0.500 0.500

=====

Relative energies, in meV per atom, with the most stable structure set to zero: run P 0; run Q 1440.

=====

Run P
First-principles (PBE) data for BaGdDy after structural relaxation, as listed in Alexandria via LeMat-Bulk.

Lattice parameters (Å, degrees): 3.774 3.774 16.510 90.00 90.00 90.00
Atoms (fractional coordinates):
1 Ba 0.000 0.000 0.000
2 Ba 0.500 0.500 0.500
3 Gd 0.000 0.000 0.315
4 Gd 0.500 0.500 0.815
5 Dy 0.000 0.000 0.680
6 Dy 0.500 0.500 0.180

=====

Run Q
First-principles (PBE) data for BaGdDy after structural relaxation, as listed in Alexandria via LeMat-Bulk.

Lattice parameters (Å, degrees): 3.778 3.778 9.355 90.00 90.00 120.00
Atoms (fractional coordinates):
1 Ba 0.000 0.000 0.000
2 Gd 0.333 0.667 0.640
3 Dy 0.667 0.333 0.351

=====

Relative energies, in meV per atom, with the most stable structure set to zero: run P 0; run Q 12.

=====

Run P
First-principles (PBE) data for BaGd2Dy after structural relaxation, as listed in Alexandria via LeMat-Bulk.

Lattice parameters (Å, degrees): 3.633 3.633 38.553 90.00 90.00 120.00
Atoms (fractional coordinates):
1 Ba 0.000 0.000 0.000
2 Ba 0.333 0.667 0.667
3 Ba 0.667 0.333 0.333
4 Gd 0.000 0.000 0.094
5 Gd 0.000 0.000 0.906
6 Gd 0.333 0.667 0.573
7 Gd 0.333 0.667 0.760
8 Gd 0.667 0.333 0.240
9 Gd 0.667 0.333 0.427
10 Dy 0.000 0.000 0.500
11 Dy 0.333 0.667 0.167
12 Dy 0.667 0.333 0.833

=====

Run Q
First-principles (PBE) data for BaGd2Dy after structural relaxation, as listed in Alexandria via LeMat-Bulk.

Lattice parameters (Å, degrees): 3.713 3.713 10.821 90.00 90.00 90.00
Atoms (fractional coordinates):
1 Ba 0.000 0.000 0.000
2 Gd 0.500 0.500 0.285
3 Gd 0.500 0.500 0.715
4 Dy 0.000 0.000 0.500

=====

Relative energies, in meV per atom, with the most stable structure set to zero: run P 66; run Q 0.

=====

Run P
First-principles (PBE) data for BaDyHo after structural relaxation, as listed in Alexandria via LeMat-Bulk.

Lattice parameters (Å, degrees): 3.766 3.766 16.322 90.00 90.00 90.00
Atoms (fractional coordinates):
1 Ba 0.000 0.000 0.000
2 Ba 0.500 0.500 0.500
3 Dy 0.000 0.000 0.318
4 Dy 0.500 0.500 0.818
5 Ho 0.000 0.000 0.682
6 Ho 0.500 0.500 0.182

=====

Run Q
First-principles (PBE) data for BaDyHo after structural relaxation, as listed in Alexandria via LeMat-Bulk.

Lattice parameters (Å, degrees): 12.356 5.132 7.521 90.00 107.80 90.00
Atoms (fractional coordinates):
1 Ba 0.000 0.000 0.250
2 Ba 0.000 0.000 0.750
3 Ba 0.500 0.500 0.250
4 Ba 0.500 0.500 0.750
5 Dy 0.181 0.500 0.091
6 Dy 0.319 0.000 0.909
7 Dy 0.681 0.000 0.091
8 Dy 0.819 0.500 0.909
9 Ho 0.181 0.500 0.591
10 Ho 0.319 0.000 0.409
11 Ho 0.681 0.000 0.591
12 Ho 0.819 0.500 0.409

=====

Relative energies, in meV per atom, with the most stable structure set to zero: run P 0; run Q 62.

=====

Run P
First-principles (PBE) data for BaDy2In after structural relaxation, as listed in Alexandria via LeMat-Bulk.

Lattice parameters (Å, degrees): 3.716 3.716 10.108 90.00 90.00 90.00
Atoms (fractional coordinates):
1 Ba 0.000 0.000 0.000
2 Dy 0.500 0.500 0.308
3 Dy 0.500 0.500 0.692
4 In 0.000 0.000 0.500

=====

Run Q
First-principles (PBE) data for BaDy2In after structural relaxation, as listed in Alexandria via LeMat-Bulk.

Lattice parameters (Å, degrees): 3.681 3.681 36.181 90.00 90.00 120.00
Atoms (fractional coordinates):
1 Ba 0.000 0.000 0.000
2 Ba 0.333 0.667 0.667
3 Ba 0.667 0.333 0.333
4 Dy 0.000 0.000 0.101
5 Dy 0.000 0.000 0.899
6 Dy 0.333 0.667 0.566
7 Dy 0.333 0.667 0.768
8 Dy 0.667 0.333 0.232
9 Dy 0.667 0.333 0.434
10 In 0.000 0.000 0.500
11 In 0.333 0.667 0.167
12 In 0.667 0.333 0.833

=====

Relative energies, in meV per atom, with the most stable structure set to zero: run P 0; run Q 185.